# AlCrHgF6

A relaxed AlCrHgF6 crystal (PBE with a Hubbard U, Alexandria).

abc: 5.1160 5.1160 14.8500
angles: 90.00 90.00 120.00
Closest atoms and distances in Å follow each position.
Space group P-31c (No. 163)
Symmetry-distinct sites (fractional):
Al1 0.3333 0.6667 0.2500  6 F 1.84
Cr1 0.3333 0.6667 0.7500  6 F 1.96
Hg1 0.0000 0.0000 0.0000  6 F 3.31
F1 0.0176 0.3822 0.1822  1 Al 1.84, 1 Cr 1.96

- electronic total energy (eV/f.u.) = -46.96
- M_tot (μB per formula unit) = 3.00